# Sc9Sn3C2 | Alexandria | PBE | optimized geometry
data_Sc9Sn3C2
_chemical_formula_sum 'Sc9 Sn3 C2'
_cell_length_a 6.4125
_cell_length_b 6.4125
_cell_length_c 7.8700
_cell_angle_alpha 90.00
_cell_angle_beta 90.00
_cell_angle_gamma 120.00
_symmetry_space_group_name_H-M 'P -3 m 1'
_symmetry_Int_Tables_number 164
_symmetry_space_group_name_Hall '-P 3 2"'
loop_
_atom_site_label
_atom_site_fract_x
_atom_site_fract_y
_atom_site_fract_z
Sc1 0.0000 0.5000 0.0000
Sc2 0.1695 0.3389 0.6697
Sn1 0.0000 0.0000 0.0000
Sn2 0.3333 0.6667 0.3349
C1 0.3333 0.6667 0.8324
# Mass density ... 4.6 g/cm³
# Formation energy from the elements ... -0.677 eV/atom

=====

# Sc7Sn3C2 | Alexandria | PBE | optimized geometry
data_Sc7Sn3C2
_chemical_formula_sum 'Sc14 Sn6 C4'
_cell_length_a 4.5344
_cell_length_b 23.0858
_cell_length_c 4.4733
_cell_angle_alpha 90.00
_cell_angle_beta 90.00
_cell_angle_gamma 90.00
_symmetry_space_group_name_H-M 'C m m m'
_symmetry_Int_Tables_number 65
_symmetry_space_group_name_Hall '-C 2 2'
loop_
_atom_site_label
_atom_site_fract_x
_atom_site_fract_y
_atom_site_fract_z
Sc1 0.0000 0.0000 0.0000
Sc2 0.0000 0.0969 0.5000
Sc3 0.0000 0.1978 0.0000
Sc4 0.0000 0.4003 0.0000
Sn1 0.0000 0.3084 0.5000
Sn2 0.0000 0.5000 0.5000
C1 0.0000 0.0988 0.0000
# Mass density ... 4.9 g/cm³
# Formation energy from the elements ... -0.737 eV/atom

=====

# Sc4SnC2 | Alexandria | PBE | optimized geometry
data_Sc4SnC2
_chemical_formula_sum 'Sc12 Sn3 C6'
_cell_length_a 3.3630
_cell_length_b 3.3630
_cell_length_c 39.4161
_cell_angle_alpha 90.00
_cell_angle_beta 90.00
_cell_angle_gamma 120.00
_symmetry_space_group_name_H-M 'R -3 m'
_symmetry_Int_Tables_number 166
_symmetry_space_group_name_Hall '-R 3 2"'
loop_
_atom_site_label
_atom_site_fract_x
_atom_site_fract_y
_atom_site_fract_z
Sc1 0.0000 0.0000 0.1250
Sc2 0.0000 0.0000 0.2701
Sn1 0.0000 0.0000 0.0000
C1 0.0000 0.0000 0.4282
# Mass density ... 4.2 g/cm³
# Formation energy from the elements ... -0.566 eV/atom

=====

# Sc12Sn6C | Alexandria | PBE | optimized geometry
data_Sc12Sn6C
_chemical_formula_sum 'Sc36 Sn18 C3'
_cell_length_a 11.1337
_cell_length_b 11.1337
_cell_length_c 12.9129
_cell_angle_alpha 90.00
_cell_angle_beta 90.00
_cell_angle_gamma 120.00
_symmetry_space_group_name_H-M 'R -3'
_symmetry_Int_Tables_number 148
_symmetry_space_group_name_Hall '-R 3'
loop_
_atom_site_label
_atom_site_fract_x
_atom_site_fract_y
_atom_site_fract_z
Sc1 0.0269 0.1826 0.3881
Sc2 0.0289 0.8512 0.8959
Sn1 0.0037 0.3811 0.2480
C1 0.0000 0.0000 0.0000
# Mass density ... 4.5 g/cm³
# Formation energy from the elements ... -0.489 eV/atom

=====

# ScSnC | Alexandria | PBE | optimized geometry
data_ScSnC
_chemical_formula_sum 'Sc4 Sn4 C4'
_cell_length_a 3.6508
_cell_length_b 4.2093
_cell_length_c 16.3543
_cell_angle_alpha 90.00
_cell_angle_beta 90.00
_cell_angle_gamma 90.00
_symmetry_space_group_name_H-M 'I m m m'
_symmetry_Int_Tables_number 71
_symmetry_space_group_name_Hall '-I 2 2'
loop_
_atom_site_label
_atom_site_fract_x
_atom_site_fract_y
_atom_site_fract_z
Sc1 0.0000 0.0000 0.1017
Sn1 0.0000 0.0000 0.2991
C1 0.0000 0.3497 0.0000
# Mass density ... 4.6 g/cm³
# Formation energy from the elements ... 0.122 eV/atom

=====

# Sc7Sn4C | Alexandria | PBE | optimized geometry
data_Sc7Sn4C
_chemical_formula_sum 'Sc14 Sn8 C2'
_cell_length_a 15.3107
_cell_length_b 4.6725
_cell_length_c 10.5781
_cell_angle_alpha 90.00
_cell_angle_beta 128.77
_cell_angle_gamma 90.00
_symmetry_space_group_name_H-M 'C 1 2/m 1'
_symmetry_Int_Tables_number 12
_symmetry_space_group_name_Hall '-C 2y'
loop_
_atom_site_label
_atom_site_fract_x
_atom_site_fract_y
_atom_site_fract_z
Sc1 0.0000 0.0000 0.0000
Sc2 0.0604 0.5000 0.2435
Sc3 0.1322 0.0000 0.5482
Sc4 0.2277 0.5000 0.8627
Sn1 0.0850 0.0000 0.7844
Sn2 0.2235 0.0000 0.3569
C1 0.0000 0.5000 0.0000
# Mass density ... 4.5 g/cm³
# Formation energy from the elements ... -0.340 eV/atom

=====

Number 1: total magnetic moment 0.00 μB per cell. Number 2: total magnetic moment 0.00 μB per cell. Number 3: total magnetic moment 0.00 μB per cell. Number 4: total magnetic moment 0.00 μB per cell. Number 5: total magnetic moment 0.00 μB per cell. Number 6: total magnetic moment 0.01 μB per cell.